# 1
The following is a DFT calculation (PBE) of a geometry-optimized AcNdPdRu structure.

The structure in POSCAR format:
```
AcNdPdRu
1.0
7.308 0.000 0.000
0.000 7.308 0.000
0.000 0.000 7.308
Ac Nd Pd Ru
4 4 4 4
Direct
0.000 0.000 0.000 Ac
0.000 0.500 0.500 Ac
0.500 0.000 0.500 Ac
0.500 0.500 0.000 Ac
0.000 0.000 0.500 Nd
0.000 0.500 0.000 Nd
0.500 0.000 0.000 Nd
0.500 0.500 0.500 Nd
0.250 0.250 0.250 Pd
0.250 0.750 0.750 Pd
0.750 0.250 0.750 Pd
0.750 0.750 0.250 Pd
0.250 0.250 0.750 Ru
0.250 0.750 0.250 Ru
0.750 0.250 0.250 Ru
0.750 0.750 0.750 Ru
```

Properties
For the energy of formation, the calculation gives -364 meV/atom. The value obtained for the total magnetization is 0.0 μB/f.u.

# 2
The following is a DFT calculation (PBE) of a geometry-optimized KTa2Nb structure.

The structure in POSCAR format:
```
KTa2Nb
1.0
4.193 0.000 0.000
0.000 4.193 0.000
0.000 0.000 20.326
K Ta Nb
4 8 4
Direct
0.000 0.000 0.000 K
0.000 0.500 0.250 K
0.500 0.000 0.750 K
0.500 0.500 0.500 K
0.218 0.250 0.625 Ta
0.250 0.718 0.875 Ta
0.250 0.782 0.375 Ta
0.282 0.250 0.125 Ta
0.718 0.750 0.125 Ta
0.750 0.218 0.375 Ta
0.750 0.282 0.875 Ta
0.782 0.750 0.625 Ta
0.000 0.000 0.500 Nb
0.000 0.500 0.750 Nb
0.500 0.000 0.250 Nb
0.500 0.500 0.000 Nb
```

Properties
As for the relative energy among the computed polymorphs: 322 meV per atom. For the energy of formation, the calculation gives 1755 meV/atom. The value obtained for the total magnetization is 0.0 μB/f.u.

# 3
The following is a DFT calculation (PBE) of a geometry-optimized TbGa3CoIr structure.

The structure in POSCAR format:
```
TbGa3CoIr
1.0
3.901 -5.244 0.000
3.901 5.244 0.000
0.000 0.000 5.464
Tb Ga Co Ir
2 6 2 2
Direct
0.210 0.790 0.750 Tb
0.790 0.210 0.250 Tb
0.251 0.251 0.000 Ga
0.251 0.251 0.500 Ga
0.320 0.680 0.250 Ga
0.680 0.320 0.750 Ga
0.749 0.749 0.000 Ga
0.749 0.749 0.500 Ga
0.462 0.538 0.750 Co
0.538 0.462 0.250 Co
0.088 0.912 0.250 Ir
0.912 0.088 0.750 Ir
```

Properties
For the energy of formation, the calculation gives -372 meV/atom. The value obtained for the total magnetization is 0.0 μB/f.u.

# 4
The following is a DFT calculation (PBE) of a geometry-optimized SrSi2H structure.

The structure in POSCAR format:
```
SrSi2H
1.0
6.894 0.000 0.000
0.000 6.894 0.000
0.000 0.000 6.894
Sr Si H
4 8 4
Direct
0.000 0.000 0.000 Sr
0.000 0.500 0.500 Sr
0.500 0.000 0.500 Sr
0.500 0.500 0.000 Sr
0.250 0.250 0.250 Si
0.250 0.250 0.750 Si
0.250 0.750 0.250 Si
0.250 0.750 0.750 Si
0.750 0.250 0.250 Si
0.750 0.250 0.750 Si
0.750 0.750 0.250 Si
0.750 0.750 0.750 Si
0.000 0.000 0.500 H
0.000 0.500 0.000 H
0.500 0.000 0.000 H
0.500 0.500 0.500 H
```

Properties
As for the relative energy among the computed polymorphs: 714 meV per atom. The value obtained for the total magnetization is 0.0 μB/f.u.

# 5
The following is a DFT calculation (PBE) of a geometry-optimized Ba2CrCd structure.

The structure in POSCAR format:
```
Ba2CrCd
1.0
5.709 0.000 0.000
0.000 5.709 0.000
0.000 0.000 8.106
Ba Cr Cd
4 2 2
Direct
0.000 0.000 0.000 Ba
0.000 0.500 0.250 Ba
0.500 0.000 0.750 Ba
0.500 0.500 0.500 Ba
0.000 0.000 0.500 Cr
0.500 0.500 0.000 Cr
0.000 0.500 0.750 Cd
0.500 0.000 0.250 Cd
```

Properties
For the energy of formation, the calculation gives 328 meV/atom. The value obtained for the total magnetization is 4.9 μB/f.u.

# 6
The following is a DFT calculation (PBE) of a geometry-optimized LiSiPS2 structure.

The structure in POSCAR format:
```
LiSiPS2
1.0
4.683 0.000 0.000
0.000 4.683 0.000
0.000 0.000 4.459
Li Si P S
1 1 1 2
Direct
0.000 0.000 0.000 Li
0.500 0.500 0.500 Si
0.500 0.500 0.000 P
0.000 0.500 0.500 S
0.500 0.000 0.500 S
```

Properties
As for the relative energy among the computed polymorphs: 0 meV per atom. Its raw formation energy is 0.131 eV/atom. The value obtained for the total magnetization is 0.8 μB/f.u.

# 7
The following is a DFT calculation (PBE) of a geometry-optimized MoHPb2 structure.

The structure in POSCAR format:
```
MoHPb2
1.0
6.933 0.000 0.000
0.000 6.933 0.000
0.000 0.000 6.933
Mo H Pb
4 4 8
Direct
0.000 0.000 0.000 Mo
0.000 0.500 0.500 Mo
0.500 0.000 0.500 Mo
0.500 0.500 0.000 Mo
0.000 0.000 0.500 H
0.000 0.500 0.000 H
0.500 0.000 0.000 H
0.500 0.500 0.500 H
0.250 0.250 0.250 Pb
0.250 0.250 0.750 Pb
0.250 0.750 0.250 Pb
0.250 0.750 0.750 Pb
0.750 0.250 0.250 Pb
0.750 0.250 0.750 Pb
0.750 0.750 0.250 Pb
0.750 0.750 0.750 Pb
```

Properties
As for the relative energy among the computed polymorphs: 214 meV per atom. The value obtained for the total magnetization is 3.1 μB/f.u.

# 8
The following is a DFT calculation (PBE) of a geometry-optimized SmMnAs2Rh5 structure.

The structure in POSCAR format:
```
SmMnAs2Rh5
1.0
3.986 0.000 0.000
0.000 3.986 0.000
0.000 0.000 10.687
Sm Mn As Rh
1 1 2 5
Direct
0.000 0.000 0.000 Sm
0.500 0.500 0.500 Mn
0.500 0.500 0.222 As
0.500 0.500 0.778 As
0.000 0.500 0.359 Rh
0.000 0.500 0.641 Rh
0.500 0.000 0.359 Rh
0.500 0.000 0.641 Rh
0.500 0.500 0.000 Rh
```

Properties
For the energy of formation, the calculation gives -186 meV/atom. The value obtained for the total magnetization is 2.6 μB/f.u.

# 9
The following is a DFT calculation (PBE) of a geometry-optimized TiGa4Rh5 structure.

The structure in POSCAR format:
```
TiGa4Rh5
1.0
2.975 0.000 0.000
0.000 2.975 0.000
0.000 0.000 16.035
Ti Ga Rh
1 4 5
Direct
0.000 0.000 0.000 Ti
0.000 0.000 0.206 Ga
0.000 0.000 0.402 Ga
0.000 0.000 0.598 Ga
0.000 0.000 0.794 Ga
0.500 0.500 0.108 Rh
0.500 0.500 0.306 Rh
0.500 0.500 0.500 Rh
0.500 0.500 0.694 Rh
0.500 0.500 0.892 Rh
```

Properties
For the energy of formation, the calculation gives -715 meV/atom. The value obtained for the total magnetization is 0.0 μB/f.u.

# 10
The following is a DFT calculation (PBE) of a geometry-optimized Sr2Zn5Pt4 structure.

The structure in POSCAR format:
```
Sr2Zn5Pt4
1.0
0.000 4.954 7.883
2.826 0.000 7.883
2.826 4.954 0.000
Sr Zn Pt
2 5 4
Direct
0.149 0.149 0.851 Sr
0.851 0.851 0.149 Sr
0.000 0.000 0.500 Zn
0.250 0.250 0.250 Zn
0.500 0.500 0.000 Zn
0.500 0.500 0.500 Zn
0.750 0.750 0.750 Zn
0.217 0.529 0.471 Pt
0.471 0.783 0.217 Pt
0.529 0.217 0.783 Pt
0.783 0.471 0.529 Pt
```

Properties
For the energy of formation, the calculation gives -619 meV/atom. The value obtained for the total magnetization is 0.0 μB/f.u.

# 11
The following is a DFT calculation (PBE) of a geometry-optimized TlTc2Rh structure.

The structure in POSCAR format:
```
TlTc2Rh
1.0
2.858 0.000 0.000
0.000 4.203 0.000
-0.017 0.000 5.563
Tl Tc Rh
1 2 1
Direct
0.000 0.000 0.000 Tl
0.498 0.500 0.293 Tc
0.502 0.500 0.707 Tc
0.000 0.000 0.500 Rh
```

Properties
As for the relative energy among the computed polymorphs: 186 meV per atom. For the energy of formation, the calculation gives 433 meV/atom. The value obtained for the total magnetization is 0.0 μB/f.u.

# 12
The following is a DFT calculation (PBE) of a geometry-optimized LiPr2Al4Cu3 structure.

The structure in POSCAR format:
```
LiPr2Al4Cu3
1.0
4.308 0.000 0.000
0.000 4.308 0.000
0.000 0.000 10.193
Li Pr Al Cu
1 2 4 3
Direct
0.000 0.000 0.000 Li
0.000 0.500 0.751 Pr
0.500 0.000 0.249 Pr
0.000 0.000 0.500 Al
0.000 0.500 0.133 Al
0.500 0.000 0.867 Al
0.500 0.500 0.500 Al
0.000 0.500 0.373 Cu
0.500 0.000 0.627 Cu
0.500 0.500 0.000 Cu
```

Properties
For the energy of formation, the calculation gives -336 meV/atom. The value obtained for the total magnetization is 0.0 μB/f.u.

The highest total magnetization belongs to which entry? Ba2CrCd